Entry 1:
# GGA-PBE CaMoRu, relaxed
data_CaMoRu
_chemical_formula_sum 'Ca4 Mo4 Ru4'
_space_group_name_H-M_alt 'F -4 3 m'
_space_group_IT_number 216
_space_group_name_Hall 'F -4 2 3'
_cell_length_a 6.364
_cell_length_b 6.364
_cell_length_c 6.364
_cell_angle_alpha 90.00
_cell_angle_beta 90.00
_cell_angle_gamma 90.00
loop_
_atom_site_label
_atom_site_type_symbol
_atom_site_fract_x
_atom_site_fract_y
_atom_site_fract_z
_atom_site_occupancy
Ca1 Ca 0.000 0.000 0.000 1
Mo1 Mo 0.250 0.250 0.750 1
Ru1 Ru 0.250 0.250 0.250 1
# formation energy	5.8	eV/f.u.


Entry 2:
# GGA-PBE Gd2ZrN, relaxed
data_Gd2ZrN
_chemical_formula_sum 'Gd6 Zr3 N3'
_space_group_name_H-M_alt 'R -3 m'
_space_group_IT_number 166
_space_group_name_Hall '-R 3 2"'
_cell_length_a 3.3751
_cell_length_b 3.3751
_cell_length_c 27.7633
_cell_angle_alpha 90.00
_cell_angle_beta 90.00
_cell_angle_gamma 120.00
loop_
_atom_site_label
_atom_site_type_symbol
_atom_site_fract_x
_atom_site_fract_y
_atom_site_fract_z
_atom_site_occupancy
Gd1 Gd 0.0000 0.0000 0.1166 1
Zr1 Zr 0.0000 0.0000 0.0000 1
N1 N 0.0000 0.0000 0.5000 1
# energy relative to the elements, uncorrected	-496	meV per atom


Entry 3:
# GGA-PBE BaSc2FeHg, relaxed
data_BaSc2FeHg
_chemical_formula_sum 'Ba1 Sc2 Fe1 Hg1'
_space_group_name_H-M_alt 'P 4/m m m'
_space_group_IT_number 123
_space_group_name_Hall '-P 4 2'
_cell_length_a 4.933
_cell_length_b 4.933
_cell_length_c 5.664
_cell_angle_alpha 90.00
_cell_angle_beta 90.00
_cell_angle_gamma 90.00
loop_
_atom_site_label
_atom_site_type_symbol
_atom_site_fract_x
_atom_site_fract_y
_atom_site_fract_z
_atom_site_occupancy
Ba1 Ba 0.000 0.000 0.000 1
Sc1 Sc 0.000 0.500 0.500 1
Fe1 Fe 0.000 0.000 0.500 1
Hg1 Hg 0.500 0.500 0.000 1
# formation energy	1.0	eV/f.u.


Entry 4:
# GGA-PBE Cs2HfPbCl6, relaxed
data_Cs2HfPbCl6
_chemical_formula_sum 'Cs4 Hf2 Pb2 Cl12'
_space_group_name_H-M_alt 'I 4/m m m'
_space_group_IT_number 139
_space_group_name_Hall '-I 4 2'
_cell_length_a 7.632
_cell_length_b 7.632
_cell_length_c 13.079
_cell_angle_alpha 90.00
_cell_angle_beta 90.00
_cell_angle_gamma 90.00
loop_
_atom_site_label
_atom_site_type_symbol
_atom_site_fract_x
_atom_site_fract_y
_atom_site_fract_z
_atom_site_occupancy
Cs1 Cs 0.000 0.500 0.250 1
Hf1 Hf 0.000 0.000 0.000 1
Pb1 Pb 0.000 0.000 0.500 1
Cl1 Cl 0.000 0.000 0.191 1
Cl2 Cl 0.228 0.228 0.000 1
# energy relative to the elements, uncorrected	-1527	meV per atom


Entry 5:
# GGA-PBE TcGeIrRu2, relaxed
data_TcGeIrRu2
_chemical_formula_sum 'Tc1 Ge1 Ir1 Ru2'
_space_group_name_H-M_alt 'P 4/m m m'
_space_group_IT_number 123
_space_group_name_Hall '-P 4 2'
_cell_length_a 4.492
_cell_length_b 4.492
_cell_length_c 4.503
_cell_angle_alpha 90.00
_cell_angle_beta 90.00
_cell_angle_gamma 90.00
loop_
_atom_site_label
_atom_site_type_symbol
_atom_site_fract_x
_atom_site_fract_y
_atom_site_fract_z
_atom_site_occupancy
Tc1 Tc 0.000 0.000 0.000 1
Ge1 Ge 0.500 0.500 0.500 1
Ir1 Ir 0.500 0.500 0.000 1
Ru1 Ru 0.000 0.500 0.500 1
# formation energy	6.8	eV/f.u.


Entry 6:
# GGA-PBE Rb3S2Cl, relaxed
data_Rb3S2Cl
_chemical_formula_sum 'Rb6 S4 Cl2'
_space_group_name_H-M_alt 'P 63/m m c'
_space_group_IT_number 194
_space_group_name_Hall '-P 6c 2c'
_cell_length_a 8.3516
_cell_length_b 8.3516
_cell_length_c 7.2561
_cell_angle_alpha 90.00
_cell_angle_beta 90.00
_cell_angle_gamma 120.00
loop_
_atom_site_label
_atom_site_type_symbol
_atom_site_fract_x
_atom_site_fract_y
_atom_site_fract_z
_atom_site_occupancy
Rb1 Rb 0.1790 0.3580 0.2500 1
S1 S 0.3333 0.6667 0.6031 1
Cl1 Cl 0.0000 0.0000 0.0000 1
# energy relative to the elements, uncorrected	-1098	meV per atom


Entry 7:
# GGA-PBE CaEuCdIn, relaxed
data_CaEuCdIn
_chemical_formula_sum 'Ca4 Eu4 Cd4 In4'
_space_group_name_H-M_alt 'F -4 3 m'
_space_group_IT_number 216
_space_group_name_Hall 'F -4 2 3'
_cell_length_a 7.790
_cell_length_b 7.790
_cell_length_c 7.790
_cell_angle_alpha 90.00
_cell_angle_beta 90.00
_cell_angle_gamma 90.00
loop_
_atom_site_label
_atom_site_type_symbol
_atom_site_fract_x
_atom_site_fract_y
_atom_site_fract_z
_atom_site_occupancy
Ca1 Ca 0.000 0.000 0.000 1
Eu1 Eu 0.000 0.000 0.500 1
Cd1 Cd 0.250 0.250 0.750 1
In1 In 0.250 0.250 0.250 1
# formation energy	-1.7	eV/f.u.


Entry 8:
# GGA-PBE NiTe12Pt5, relaxed
data_NiTe12Pt5
_chemical_formula_sum 'Ni2 Te24 Pt10'
_space_group_name_H-M_alt 'C 1 2/m 1'
_space_group_IT_number 12
_space_group_name_Hall '-C 2y'
_cell_length_a 6.963
_cell_length_b 12.072
_cell_length_c 11.639
_cell_angle_alpha 90.00
_cell_angle_beta 101.26
_cell_angle_gamma 90.00
loop_
_atom_site_label
_atom_site_type_symbol
_atom_site_fract_x
_atom_site_fract_y
_atom_site_fract_z
_atom_site_occupancy
Ni1 Ni 0.000 0.000 0.000 1
Te1 Te 0.126 0.333 0.377 1
Te2 Te 0.127 0.000 0.379 1
Te3 Te 0.200 0.161 0.118 1
Te4 Te 0.216 0.500 0.118 1
Pt1 Pt 0.000 0.167 0.500 1
Pt2 Pt 0.000 0.333 0.000 1
Pt3 Pt 0.000 0.500 0.500 1
# energy relative to the elements, uncorrected	-360	meV per atom


Entry 9:
# GGA-PBE Ca3TlGa2, relaxed
data_Ca3TlGa2
_chemical_formula_sum 'Ca3 Tl1 Ga2'
_space_group_name_H-M_alt 'P 4/m m m'
_space_group_IT_number 123
_space_group_name_Hall '-P 4 2'
_cell_length_a 3.736
_cell_length_b 3.736
_cell_length_c 11.336
_cell_angle_alpha 90.00
_cell_angle_beta 90.00
_cell_angle_gamma 90.00
loop_
_atom_site_label
_atom_site_type_symbol
_atom_site_fract_x
_atom_site_fract_y
_atom_site_fract_z
_atom_site_occupancy
Ca1 Ca 0.000 0.000 0.000 1
Ca2 Ca 0.000 0.000 0.315 1
Tl1 Tl 0.500 0.500 0.500 1
Ga1 Ga 0.500 0.500 0.156 1
# formation energy	-2.6	eV/f.u.


Entry 10:
# GGA-PBE YNb2Rh, relaxed
data_YNb2Rh
_chemical_formula_sum 'Y4 Nb8 Rh4'
_space_group_name_H-M_alt 'F m -3 m'
_space_group_IT_number 225
_space_group_name_Hall '-F 4 2 3'
_cell_length_a 6.664
_cell_length_b 6.664
_cell_length_c 6.664
_cell_angle_alpha 90.00
_cell_angle_beta 90.00
_cell_angle_gamma 90.00
loop_
_atom_site_label
_atom_site_type_symbol
_atom_site_fract_x
_atom_site_fract_y
_atom_site_fract_z
_atom_site_occupancy
Y1 Y 0.000 0.000 0.000 1
Nb1 Nb 0.250 0.250 0.250 1
Rh1 Rh 0.000 0.000 0.500 1
# formation energy	0.6	eV/f.u.


Entry 11:
# GGA-PBE CaIr2Se, relaxed
data_CaIr2Se
_chemical_formula_sum 'Ca1 Ir2 Se1'
_space_group_name_H-M_alt 'P 1 2/m 1'
_space_group_IT_number 10
_space_group_name_Hall '-P 2y'
_cell_length_a 2.963
_cell_length_b 4.884
_cell_length_c 4.890
_cell_angle_alpha 90.00
_cell_angle_beta 93.14
_cell_angle_gamma 90.00
loop_
_atom_site_label
_atom_site_type_symbol
_atom_site_fract_x
_atom_site_fract_y
_atom_site_fract_z
_atom_site_occupancy
Ca1 Ca 0.000 0.000 0.000 1
Ir1 Ir 0.327 0.500 0.740 1
Se1 Se 0.500 0.000 0.500 1
# energy relative to the elements, uncorrected	9	meV per atom


Entry 12:
# GGA-PBE ZnCuAgSn, relaxed
data_ZnCuAgSn
_chemical_formula_sum 'Zn4 Cu4 Ag4 Sn4'
_space_group_name_H-M_alt 'F -4 3 m'
_space_group_IT_number 216
_space_group_name_Hall 'F -4 2 3'
_cell_length_a 6.575
_cell_length_b 6.575
_cell_length_c 6.575
_cell_angle_alpha 90.00
_cell_angle_beta 90.00
_cell_angle_gamma 90.00
loop_
_atom_site_label
_atom_site_type_symbol
_atom_site_fract_x
_atom_site_fract_y
_atom_site_fract_z
_atom_site_occupancy
Zn1 Zn 0.000 0.000 0.000 1
Cu1 Cu 0.250 0.250 0.250 1
Ag1 Ag 0.250 0.250 0.750 1
Sn1 Sn 0.000 0.000 0.500 1
# formation energy	0.6	eV/f.u.


Listing magnetization for the structures above in their given order: 1.81; 14.76; 0.00; 0.00; 3.28; 0.00; 7.05; 0.00; 0.00; 0.00; 0.00; 0.00 μB/f.u..